## GaCu2Pt4 (PBE)

Data for a relaxed structure of GaCu2Pt4.

abc: 5.2587 5.2587 3.9842
angles: 90.00 90.00 94.76
With the nearest neighbours (Å) after each atom.
Fractional positions:
1 Ga 0.0000 0.0000 0.0000  8 Pt 2.56-2.63
2 Cu 0.2804 0.7196 0.5000  8 Pt 2.58-2.70
3 Cu 0.7196 0.2804 0.5000  8 Pt 2.58-2.70
4 Pt 0.0000 0.5000 0.0000  2 Ga 2.63, 4 Cu 2.68, 4 Pt 2.78
5 Pt 0.2267 0.2267 0.5000  2 Ga 2.56, 4 Cu 2.58-2.70, 4 Pt 2.78
6 Pt 0.5000 0.0000 0.0000  2 Ga 2.63, 4 Cu 2.68, 4 Pt 2.78
7 Pt 0.7733 0.7733 0.5000  2 Ga 2.56, 4 Cu 2.58-2.70, 4 Pt 2.78

## Properties
crystal system: orthorhombic
energy above the most stable polymorph in this dataset: 91 meV/atom
total energy: -5.25 eV/atom
calculated volume: 15.7 A^3/atom
energy of formation from the pure elements: -192 meV per atom
total magnetization: 0.00 μB per cell

---

## Ga4Cu9Pt11 (PBE)

Data for a relaxed structure of Ga4Cu9Pt11.

abc: 11.0613 11.0613 2.8641
angles: 90.00 90.00 101.48
With the nearest neighbours (Å) after each atom.
Fractional positions:
1 Ga 0.0561 0.2395 0.0000  6 Pt 2.56-2.63, 2 Cu 2.58-2.60
2 Ga 0.2395 0.0561 0.0000  6 Pt 2.56-2.63, 2 Cu 2.58-2.60
3 Ga 0.7605 0.9439 0.0000  6 Pt 2.56-2.63, 2 Cu 2.58-2.60
4 Ga 0.9439 0.7605 0.0000  6 Pt 2.56-2.63, 2 Cu 2.58-2.60
5 Cu 0.0000 0.0000 0.0000  4 Ga 2.60, 4 Pt 2.75, 2 Cu 2.86
6 Cu 0.1252 0.6449 0.0000  1 Ga 2.58, 8 Pt 2.62-2.79, 2 Cu 2.86
7 Cu 0.2977 0.4683 0.0000  8 Pt 2.62-2.72, 3 Cu 2.86-2.92
8 Cu 0.3551 0.8748 0.0000  1 Ga 2.58, 8 Pt 2.62-2.79, 2 Cu 2.86
9 Cu 0.4683 0.2977 0.0000  8 Pt 2.62-2.72, 3 Cu 2.86-2.92
10 Cu 0.5317 0.7023 0.0000  8 Pt 2.62-2.72, 3 Cu 2.86-2.92
11 Cu 0.6449 0.1252 0.0000  1 Ga 2.58, 8 Pt 2.62-2.79, 2 Cu 2.86
12 Cu 0.7023 0.5317 0.0000  8 Pt 2.62-2.72, 3 Cu 2.86-2.92
13 Cu 0.8748 0.3551 0.0000  1 Ga 2.58, 8 Pt 2.62-2.79, 2 Cu 2.86
14 Pt 0.0916 0.4349 0.5000  2 Ga 2.56, 6 Cu 2.66-2.78, 1 Pt 2.71
15 Pt 0.1368 0.8632 0.5000  4 Ga 2.63, 6 Cu 2.75-2.79, 2 Pt 2.86
16 Pt 0.2552 0.2552 0.5000  4 Ga 2.60, 4 Cu 2.72, 2 Pt 2.86
17 Pt 0.3272 0.6728 0.5000  8 Cu 2.62-2.64, 2 Pt 2.86
18 Pt 0.4349 0.0916 0.5000  2 Ga 2.56, 6 Cu 2.66-2.78, 1 Pt 2.71
19 Pt 0.5000 0.5000 0.5000  8 Cu 2.62, 2 Pt 2.86
20 Pt 0.5651 0.9084 0.5000  2 Ga 2.56, 6 Cu 2.66-2.78, 1 Pt 2.71
21 Pt 0.6728 0.3272 0.5000  8 Cu 2.62-2.64, 2 Pt 2.86
22 Pt 0.7448 0.7448 0.5000  4 Ga 2.60, 4 Cu 2.72, 2 Pt 2.86
23 Pt 0.8632 0.1368 0.5000  4 Ga 2.63, 6 Cu 2.75-2.79, 2 Pt 2.86
24 Pt 0.9084 0.5651 0.5000  2 Ga 2.56, 6 Cu 2.66-2.78, 1 Pt 2.71

## Properties
crystal system: orthorhombic
total energy: -5.12 eV/atom
calculated volume: 14.3 A^3/atom
energy of formation from the pure elements: -313 meV per atom
total magnetization: 0.00 μB per cell

---

## GaCu4Pt3 (PBE)

Data for a relaxed structure of GaCu4Pt3.

abc: 8.7797 8.7797 4.6486
angles: 94.26 94.26 18.16
With the nearest neighbours (Å) after each atom.
Fractional positions:
1 Ga 0.0000 0.0000 0.0000  6 Cu 2.66-2.67, 4 Pt 2.71, 2 Ga 2.77
2 Cu 0.1250 0.1250 0.3720  5 Pt 2.67-2.69, 1 Ga 2.67, 6 Cu 2.68-2.77
3 Cu 0.3759 0.3759 0.1217  2 Ga 2.66, 4 Pt 2.68-2.69, 6 Cu 2.68-2.77
4 Cu 0.6241 0.6241 0.8783  2 Ga 2.66, 4 Pt 2.68-2.69, 6 Cu 2.68-2.77
5 Cu 0.8750 0.8750 0.6280  5 Pt 2.67-2.69, 1 Ga 2.67, 6 Cu 2.68-2.77
6 Pt 0.2501 0.2501 0.7499  6 Cu 2.67-2.69, 6 Pt 2.70-2.77
7 Pt 0.5000 0.5000 0.5000  6 Cu 2.68, 4 Ga 2.71, 2 Pt 2.77
8 Pt 0.7499 0.7499 0.2501  6 Cu 2.67-2.69, 6 Pt 2.70-2.77

## Properties
crystal system: monoclinic
total energy: -4.91 eV/atom
calculated volume: 13.9 A^3/atom
energy of formation from the pure elements: -218 meV per atom
total magnetization: 0.00 μB per cell